## InSnHgTe3 (PBE)

Data for a geometry-optimized InSnHgTe3 structure.

Properties
total DFT energy (no corrections) = -2.93 eV/atom
space-group type = P2_1/m, No. 11
formation energy without anion corrections = -18 kJ/mol of atoms

extended XYZ file:
```
12
Lattice="8.677 0.000 0.000 0.000 4.631 0.000 -3.733 0.000 11.393" Properties=species:S:1:pos:R:3 pbc="T T T"
In 0.166 1.158 1.422
In 4.778 3.473 9.972
Sn 1.357 3.473 4.393
Sn 3.587 1.158 7.001
Hg -0.641 1.158 7.368
Hg 5.585 3.473 4.026
Te -0.872 1.158 4.036
Te 1.784 3.473 0.761
Te 1.484 3.473 7.354
Te 3.460 1.158 4.039
Te 3.160 1.158 10.633
Te 5.816 3.473 7.357
```

## In2NiGeP (PBE)

Data for a geometry-optimized In2NiGeP structure.

Properties
total DFT energy (no corrections) = -3.41 eV/atom
space-group type = P4/mmm, No. 123

extended XYZ file:
```
5
Lattice="5.141 0.000 0.000 0.000 5.141 0.000 0.000 0.000 4.637" Properties=species:S:1:pos:R:3 pbc="T T T"
In 0.000 2.570 0.000
In 2.570 0.000 0.000
Ni 0.000 0.000 2.318
Ge 2.570 2.570 2.318
P 2.570 2.570 0.000
```